1.
Y2AlOs: relaxed, GGA-PBE.

Summary:
Total moment ... 0.0 Bohr magnetons per cell
Space group ... R3m
DFT formation energy ... 0.123 eV per atom

Cell lengths 3.4277, 3.4277, 27.7850 Å; angles 90.00, 90.00, 120.00 degrees
Sites, in units of the cell vectors:
Y 0.0000 0.0000 0.0000
Y 0.0000 0.0000 0.2167
Y 0.3333 0.6667 0.6667
Y 0.3333 0.6667 0.8833
Y 0.6667 0.3333 0.3333
Y 0.6667 0.3333 0.5500
Al 0.0000 0.0000 0.7519
Al 0.3333 0.6667 0.4185
Al 0.6667 0.3333 0.0852
Os 0.0000 0.0000 0.4749
Os 0.3333 0.6667 0.1415
Os 0.6667 0.3333 0.8082

---

2.
CdHgTe2: relaxed, GGA-PBE.

Summary:
Total moment ... 0.0 Bohr magnetons per cell
Energy relative to the elements, uncorrected ... -199.9 meV/atom
Energy above the most stable polymorph in this dataset ... 112.2 meV per atom
Space group ... P3m1

Cell lengths 4.5788, 4.5788, 7.4278 Å; angles 90.00, 90.00, 120.00 degrees
Sites, in units of the cell vectors:
Cd 0.0000 0.0000 0.0000
Hg 0.3333 0.6667 0.4717
Te 0.3333 0.6667 0.8555
Te 0.6667 0.3333 0.3065

---

3.
HfPa6Se12: relaxed, GGA-PBE.

Summary:
Total moment ... 10.1 Bohr magnetons per cell
Energy relative to the elements, uncorrected ... -1249.8 meV/atom
Space group ... R-3

Cell lengths 8.1624, 8.1624, 8.1624 Å; angles 99.59, 99.59, 99.59 degrees
Sites, in units of the cell vectors:
Hf 0.0000 0.0000 0.0000
Pa 0.1318 0.3059 0.6401
Pa 0.3059 0.6401 0.1318
Pa 0.3599 0.8682 0.6941
Pa 0.6401 0.1318 0.3059
Pa 0.6941 0.3599 0.8682
Pa 0.8682 0.6941 0.3599
Se 0.0208 0.9322 0.6776
Se 0.0678 0.3224 0.9792
Se 0.1791 0.5653 0.4250
Se 0.3224 0.9792 0.0678
Se 0.4250 0.1791 0.5653
Se 0.4347 0.5750 0.8209
Se 0.5653 0.4250 0.1791
Se 0.5750 0.8209 0.4347
Se 0.6776 0.0208 0.9322
Se 0.8209 0.4347 0.5750
Se 0.9322 0.6776 0.0208
Se 0.9792 0.0678 0.3224

---

4.
BeW2Se: relaxed, GGA-PBE.

Summary:
Total moment ... 0.0 Bohr magnetons per cell
Energy relative to the elements, uncorrected ... 189.3 meV/atom
Energy above the most stable polymorph in this dataset ... 0.0 meV per atom
Space group ... P4mm

Cell lengths 3.1714, 3.1714, 5.7445 Å; angles 90.00, 90.00, 90.00 degrees
Sites, in units of the cell vectors:
Be 0.0000 0.0000 0.0000
W 0.0000 0.0000 0.5445
W 0.5000 0.5000 0.8273
Se 0.5000 0.5000 0.2832

---

5.
Y2AsPb: relaxed, GGA-PBE.

Summary:
Total moment ... 0.0 Bohr magnetons per cell
Energy above the most stable polymorph in this dataset ... 292.9 meV per atom
Space group ... Immm
DFT formation energy ... -0.723 eV per atom

Cell lengths 4.3128, 5.8779, 8.4159 Å; angles 90.00, 90.00, 90.00 degrees
Sites, in units of the cell vectors:
Y 0.0000 0.0000 0.2293
Y 0.0000 0.0000 0.7707
Y 0.5000 0.5000 0.2707
Y 0.5000 0.5000 0.7293
As 0.0000 0.5000 0.5000
As 0.5000 0.0000 0.0000
Pb 0.0000 0.5000 0.0000
Pb 0.5000 0.0000 0.5000

---

6.
SrNi2Sb: relaxed, GGA-PBE.

Summary:
Total moment ... 0.0 Bohr magnetons per cell
Energy relative to the elements, uncorrected ... 142.7 meV/atom
Space group ... I-4m2

Cell lengths 4.1292, 4.1292, 9.3230 Å; angles 90.00, 90.00, 90.00 degrees
Sites, in units of the cell vectors:
Sr 0.0000 0.0000 0.0000
Sr 0.5000 0.5000 0.5000
Ni 0.0000 0.0000 0.5000
Ni 0.0000 0.5000 0.7500
Ni 0.5000 0.0000 0.2500
Ni 0.5000 0.5000 0.0000
Sb 0.0000 0.5000 0.2500
Sb 0.5000 0.0000 0.7500